[1]
DFT (PBE) results for crystalline BaBiPd2Pb2 at its relaxed geometry.

As for the total energy: -4.1738 eV per atom. The value obtained for the formation enthalpy at 0 K is -0.24 eV per atom.

The structure belongs to space group P4/mmm (No. 123); the cell edges are 5.227, 5.227 and 6.909 Å and the angles 90.00°, 90.00° and 90.00°. The distinct sites, in fractional coordinates, are Ba at (0.000, 0.000, 0.000), Bi at (0.000, 0.000, 0.500), Pd at (0.000, 0.500, 0.500) and Pb at (0.500, 0.500, 0.262).

[2]
DFT (PBE) results for crystalline Ba2BiPt4Pb3 at its relaxed geometry.

As for the total energy: -4.8463 eV per atom. The value obtained for the formation enthalpy at 0 K is -0.54 eV per atom.

The structure belongs to space group P-4m2 (No. 115); the cell edges are 5.011, 5.011 and 10.762 Å and the angles 90.00°, 90.00° and 90.00°. The distinct sites, in fractional coordinates, are Ba at (0.000, 0.500, 0.240), Bi at (0.000, 0.000, 0.500), Pt at (0.000, 0.000, 0.000), Pt at (0.000, 0.500, 0.626), Pt at (0.500, 0.500, 0.000), Pb at (0.000, 0.500, 0.884) and Pb at (0.500, 0.500, 0.500).

[3]
DFT (PBE) results for crystalline Ba2Bi3Pt4Pb at its relaxed geometry.

As for the total energy: -4.9211 eV per atom. The value obtained for the formation enthalpy at 0 K is -0.59 eV per atom.

The structure belongs to space group P-4m2 (No. 115); the cell edges are 4.966, 4.966 and 11.006 Å and the angles 90.00°, 90.00° and 90.00°. The distinct sites, in fractional coordinates, are Ba at (0.000, 0.500, 0.239), Bi at (0.000, 0.500, 0.879), Bi at (0.500, 0.500, 0.500), Pt at (0.000, 0.000, 0.000), Pt at (0.000, 0.500, 0.627), Pt at (0.500, 0.500, 0.000) and Pb at (0.000, 0.000, 0.500).

[4]
DFT (PBE) results for crystalline Ba2BiRhPb at its relaxed geometry.

As for the total energy: -4.2398 eV per atom. The value obtained for the formation enthalpy at 0 K is -0.48 eV per atom.

The structure belongs to space group P4/mmm (No. 123); the cell edges are 5.930, 5.930 and 5.268 Å and the angles 90.00°, 90.00° and 90.00°. The distinct sites, in fractional coordinates, are Ba at (0.000, 0.500, 0.000), Bi at (0.000, 0.000, 0.500), Rh at (0.500, 0.500, 0.000) and Pb at (0.500, 0.500, 0.500).

[5]
DFT (PBE) results for crystalline Ba2Bi3Rh4Pb at its relaxed geometry.

As for the total energy: -5.2704 eV per atom. The value obtained for the formation enthalpy at 0 K is -0.41 eV per atom.

The structure belongs to space group P-4m2 (No. 115); the cell edges are 4.802, 4.802 and 11.100 Å and the angles 90.00°, 90.00° and 90.00°. The distinct sites, in fractional coordinates, are Ba at (0.000, 0.500, 0.247), Bi at (0.000, 0.500, 0.877), Bi at (0.500, 0.500, 0.500), Rh at (0.000, 0.000, 0.000), Rh at (0.000, 0.500, 0.629), Rh at (0.500, 0.500, 0.000) and Pb at (0.000, 0.000, 0.500).

[6]
DFT (PBE) results for crystalline BaBiRhPb2 at its relaxed geometry.

As for the total energy: -4.3019 eV per atom. Its excess energy over the best structure of this formula in the dataset is 0.085 eV/atom. The value obtained for the formation enthalpy at 0 K is -0.19 eV per atom.

The structure belongs to space group P4/mmm (No. 123); the cell edges are 5.337, 5.337 and 5.738 Å and the angles 90.00°, 90.00° and 90.00°. The distinct sites, in fractional coordinates, are Ba at (0.000, 0.000, 0.000), Bi at (0.500, 0.500, 0.000), Rh at (0.500, 0.500, 0.500) and Pb at (0.000, 0.500, 0.500).

[7]
DFT (PBE) results for crystalline BaBiRh2Pb2 at its relaxed geometry.

As for the total energy: -4.7450 eV per atom. The value obtained for the formation enthalpy at 0 K is -0.09 eV per atom.

The structure belongs to space group P4/mmm (No. 123); the cell edges are 5.114, 5.114 and 6.830 Å and the angles 90.00°, 90.00° and 90.00°. The distinct sites, in fractional coordinates, are Ba at (0.000, 0.000, 0.000), Bi at (0.000, 0.000, 0.500), Rh at (0.000, 0.500, 0.500) and Pb at (0.500, 0.500, 0.262).

[8]
DFT (PBE) results for crystalline BaBiRhPb2 at its relaxed geometry.

As for the total energy: -4.3870 eV per atom. Its excess energy over the best structure of this formula in the dataset is 0.000 eV/atom. The value obtained for the formation enthalpy at 0 K is -0.27 eV per atom.

The structure belongs to space group P4/mmm (No. 123); the cell edges are 5.314, 5.314 and 5.851 Å and the angles 90.00°, 90.00° and 90.00°. The distinct sites, in fractional coordinates, are Ba at (0.000, 0.000, 0.000), Bi at (0.500, 0.500, 0.000), Rh at (0.000, 0.000, 0.500) and Pb at (0.000, 0.500, 0.500).

[9]
DFT (PBE) results for crystalline Ba2BiPbS5 at its relaxed geometry.

As for the total energy: -4.6701 eV per atom.

The structure belongs to space group Cmc2_1 (No. 36); the cell edges are 4.376, 18.406 and 12.961 Å and the angles 90.00°, 90.00° and 90.00°. The distinct sites, in fractional coordinates, are Ba at (0.000, 0.112, 0.000), Ba at (0.000, 0.134, 0.622), Bi at (0.000, 0.219, 0.335), Pb at (0.000, 0.451, 0.772), S at (0.000, 0.051, 0.390), S at (0.000, 0.282, 0.975), S at (0.000, 0.314, 0.685), S at (0.000, 0.361, 0.314) and S at (0.000, 0.494, 0.085).

[10]
DFT (PBE) results for crystalline Ba2BiPbS4 at its relaxed geometry.

As for the total energy: -4.6189 eV per atom.

The structure belongs to space group C2/c (No. 15); the cell edges are 12.250, 12.244 and 8.545 Å and the angles 90.00°, 130.82° and 90.00°. The distinct sites, in fractional coordinates, are Ba at (0.000, 0.000, 0.000), Ba at (0.250, 0.250, 0.000), Bi at (0.250, 0.250, 0.500), Pb at (0.000, 0.500, 0.000), S at (0.023, 0.255, 0.512) and S at (0.242, 0.490, 0.490).

[11]
DFT (PBE) results for crystalline BaBiSbPb2 at its relaxed geometry.

As for the total energy: -3.8152 eV per atom.

The structure belongs to space group Cmcm (No. 63); the cell edges are 4.981, 16.422 and 10.110 Å and the angles 90.00°, 90.00° and 90.00°. The distinct sites, in fractional coordinates, are Ba at (0.000, 0.003, 0.250), Bi at (0.000, 0.232, 0.750), Sb at (0.000, 0.500, 0.000) and Pb at (0.000, 0.321, 0.056).

[12]
DFT (PBE) results for crystalline Ba2BiSbPb at its relaxed geometry.

As for the total energy: -3.8202 eV per atom.

The structure belongs to space group P2_1/m (No. 11); the cell edges are 9.783, 4.828 and 9.881 Å and the angles 90.00°, 98.72° and 90.00°. The distinct sites, in fractional coordinates, are Ba at (0.097, 0.250, 0.193), Ba at (0.389, 0.750, 0.658), Bi at (0.185, 0.250, 0.854), Sb at (0.344, 0.750, 0.308) and Pb at (0.371, 0.750, 0.014).

What did the third record say?
DFT (PBE) results for crystalline Ba2Bi3Pt4Pb at its relaxed geometry.

As for the total energy: -4.9211 eV per atom. The value obtained for the formation enthalpy at 0 K is -0.59 eV per atom.

The structure belongs to space group P-4m2 (No. 115); the cell edges are 4.966, 4.966 and 11.006 Å and the angles 90.00°, 90.00° and 90.00°. The distinct sites, in fractional coordinates, are Ba at (0.000, 0.500, 0.239), Bi at (0.000, 0.500, 0.879), Bi at (0.500, 0.500, 0.500), Pt at (0.000, 0.000, 0.000), Pt at (0.000, 0.500, 0.627), Pt at (0.500, 0.500, 0.000) and Pb at (0.000, 0.000, 0.500).

Which formula does entry 4 have? Ba2BiRhPb